Record 1
Compound: NbPdS
Source: Alexandria via LeMat-Bulk
Functional: PBE-GGA
Structure: optimized geometry

Cell: 3.064 3.077 10.546 Å, 90.00 90.00 90.00°
Element x y z (fractional)
Nb (0.000, 0.000, 0.350)
Nb (0.000, 0.500, 0.850)
S (0.500, 0.000, 0.971)
S (0.500, 0.500, 0.471)
Pd (0.500, 0.000, 0.670)
Pd (0.500, 0.500, 0.170)

Calculated values
D(E_F)	0.4891	states/eV/atom
formation energy without anion corrections	-0.530	eV per atom
space-group type	Amm2

=====

Record 2
Compound: YAg2Se2
Source: Alexandria via LeMat-Bulk
Functional: PBE-GGA
Structure: optimized geometry

Cell: 3.828 3.828 8.064 Å, 76.27 76.27 90.00°
Element x y z (fractional)
Y (0.000, 0.000, 0.000)
Se (0.402, 0.402, 0.196)
Se (0.598, 0.598, 0.804)
Ag (0.750, 0.250, 0.500)
Ag (0.250, 0.750, 0.500)

Calculated values
D(E_F)	0.4285	states/eV/atom
formation energy without anion corrections	-0.646	eV per atom
space-group type	I4/mmm

=====

Record 3
Compound: Mg2FeTe
Source: Alexandria via LeMat-Bulk
Functional: PBE-GGA
Structure: optimized geometry

Cell: 5.534 5.534 5.534 Å, 136.28 136.28 63.56°
Element x y z (fractional)
Fe (0.750, 0.250, 0.500)
Mg (0.000, 0.000, 0.000)
Mg (0.250, 0.750, 0.500)
Te (0.500, 0.500, 0.000)

Calculated values
D(E_F)	1.0530	states/eV/atom
formation energy without anion corrections	0.148	eV per atom
space-group type	I-4m2

=====

Record 4
Compound: KNd2NpO6
Source: Alexandria via LeMat-Bulk
Functional: PBE-GGA
Structure: optimized geometry

Cell: 6.119 6.119 6.410 Å, 61.49 61.49 60.00°
Element x y z (fractional)
K (0.790, 0.790, 0.631)
Nd (0.529, 0.529, 0.412)
Nd (0.014, 0.014, 0.957)
Np (0.321, 0.321, 0.037)
O (0.585, 0.250, 0.221)
O (0.250, 0.944, 0.221)
O (0.944, 0.585, 0.221)
O (0.358, 0.693, 0.771)
O (0.693, 0.178, 0.771)
O (0.178, 0.358, 0.771)

Calculated values
D(E_F)	0.8254	states/eV/atom
formation energy without anion corrections	-2.947	eV per atom
space-group type	R3

=====

Record 5
Compound: BaTl4Cd
Source: Alexandria via LeMat-Bulk
Functional: PBE-GGA
Structure: optimized geometry

Cell: 5.865 8.304 8.850 Å, 90.00 109.35 90.00°
Element x y z (fractional)
Ba (0.384, 0.750, 0.768)
Ba (0.616, 0.250, 0.232)
Tl (0.225, 0.434, 0.450)
Tl (0.775, 0.566, 0.550)
Tl (0.225, 0.066, 0.450)
Tl (0.775, 0.934, 0.550)
Tl (0.593, 0.750, 0.186)
Tl (0.407, 0.250, 0.814)
Tl (0.000, 0.500, 0.000)
Tl (0.000, 0.000, 0.000)
Cd (0.141, 0.750, 0.283)
Cd (0.859, 0.250, 0.717)

Calculated values
final energy	-12.9	eV per formula unit
D(E_F)	0.3931	states/eV/atom
space-group type	Cmcm

=====

Record 6
Compound: LiLaMn2
Source: Alexandria via LeMat-Bulk
Functional: PBE-GGA
Structure: optimized geometry

Cell: 4.821 4.821 3.492 Å, 90.00 90.00 101.46°
Element x y z (fractional)
La (0.500, 0.000, 0.500)
Li (0.000, 0.500, 0.500)
Mn (0.000, 0.000, 0.000)
Mn (0.500, 0.500, 0.000)

Calculated values
final energy	-23.2	eV per formula unit
D(E_F)	0.9320	states/eV/atom
space-group type	Cmmm